Entry from Alexandria via LeMat-Bulk: an optimized crystal structure of Y2Ag (GGA-PBE).

Cell and atoms, written as POSCAR:
```
Y2Ag
1.0
7.161 0.000 0.000
0.000 7.161 0.000
0.000 0.000 7.161
Y Ag
8 4
Direct
0.153 0.153 0.153 Y
0.153 0.347 0.653 Y
0.347 0.653 0.153 Y
0.347 0.847 0.653 Y
0.653 0.153 0.347 Y
0.653 0.347 0.847 Y
0.847 0.653 0.347 Y
0.847 0.847 0.847 Y
0.000 0.000 0.500 Ag
0.000 0.500 0.000 Ag
0.500 0.000 0.000 Ag
0.500 0.500 0.500 Ag
```

Properties
* calculated formation energy: 0.039 eV/atom
* space-group type: Pa-3 (205)
* density: 5167 kg/m3
* crystal system: cubic

Entry from Alexandria via LeMat-Bulk: an optimized crystal structure of Y2Ag (GGA-PBE).

Cell and atoms, written as POSCAR:
```
Y2Ag
1.0
5.121 0.000 0.000
0.000 5.121 0.000
0.000 0.000 3.442
Y Ag
2 1
Direct
0.000 0.500 0.000 Y
0.500 0.000 0.000 Y
0.000 0.000 0.500 Ag
```

Properties
* calculated formation energy: 0.071 eV/atom
* space-group type: P4/mmm (123)
* density: 5256 kg/m3
* crystal system: tetragonal

Entry from Alexandria via LeMat-Bulk: an optimized crystal structure of Y2Ag (GGA-PBE).

Cell and atoms, written as POSCAR:
```
Y2Ag
1.0
3.580 0.000 0.000
-1.790 3.100 0.000
0.000 0.000 7.584
Y Ag
2 1
Direct
0.333 0.667 0.309 Y
0.667 0.333 0.691 Y
0.000 0.000 0.000 Ag
```

Properties
* calculated formation energy: -0.026 eV/atom
* space-group type: P-3m1 (164)
* density: 5635 kg/m3
* crystal system: trigonal

Entry from Alexandria via LeMat-Bulk: an optimized crystal structure of Y3Ag2 (GGA-PBE).

Cell and atoms, written as POSCAR:
```
Y3Ag2
1.0
8.363 0.000 0.000
0.000 8.363 0.000
0.000 0.000 3.769
Y Ag
6 4
Direct
0.000 0.000 0.000 Y
0.167 0.333 0.500 Y
0.333 0.833 0.500 Y
0.500 0.500 0.000 Y
0.667 0.167 0.500 Y
0.833 0.667 0.500 Y
0.127 0.627 0.000 Ag
0.373 0.127 0.000 Ag
0.627 0.873 0.000 Ag
0.873 0.373 0.000 Ag
```

Properties
* calculated formation energy: -0.223 eV/atom
* space-group type: P4/mbm (127)
* density: 6078 kg/m3
* ΔE to the lowest computed polymorph: 31 meV per atom
* crystal system: tetragonal

Entry from Alexandria via LeMat-Bulk: an optimized crystal structure of Y2Ag3 (GGA-PBE).

Cell and atoms, written as POSCAR:
```
Y2Ag3
1.0
1.685 0.973 12.110
-1.685 0.973 12.110
0.000 -1.946 12.110
Y Ag
2 3
Direct
0.207 0.207 0.207 Y
0.793 0.793 0.793 Y
0.000 0.000 0.000 Ag
0.392 0.392 0.392 Ag
0.608 0.608 0.608 Ag
```

Properties
* calculated formation energy: 0.072 eV/atom
* space-group type: R-3m (166)
* density: 6991 kg/m3
* ΔE to the lowest computed polymorph: 379 meV per atom
* crystal system: trigonal

Entry from Alexandria via LeMat-Bulk: an optimized crystal structure of Y2Ag (GGA-PBE).

Cell and atoms, written as POSCAR:
```
Y2Ag
1.0
1.840 -8.303 0.000
1.840 8.303 0.000
0.000 0.000 5.302
Y Ag
4 2
Direct
0.080 0.920 0.750 Y
0.222 0.778 0.250 Y
0.778 0.222 0.750 Y
0.920 0.080 0.250 Y
0.425 0.575 0.750 Ag
0.575 0.425 0.250 Ag
```

Properties
* calculated formation energy: -0.199 eV/atom
* space-group type: Cmcm (63)
* density: 5855 kg/m3
* crystal system: orthorhombic

Entry from Alexandria via LeMat-Bulk: an optimized crystal structure of Y2Ag3 (GGA-PBE).

Cell and atoms, written as POSCAR:
```
Y2Ag3
1.0
2.457 1.419 5.485
-2.457 1.419 5.485
0.000 -2.837 5.485
Y Ag
2 3
Direct
0.098 0.098 0.098 Y
0.902 0.902 0.902 Y
0.319 0.319 0.319 Ag
0.500 0.500 0.500 Ag
0.681 0.681 0.681 Ag
```

Properties
* calculated formation energy: -0.180 eV/atom
* space-group type: R-3m (166)
* density: 7258 kg/m3
* ΔE to the lowest computed polymorph: 128 meV per atom
* crystal system: trigonal

Entry from Alexandria via LeMat-Bulk: an optimized crystal structure of Y4Ag (GGA-PBE).

Cell and atoms, written as POSCAR:
```
Y4Ag
1.0
6.300 -1.842 0.000
6.300 1.842 0.000
-6.282 0.000 6.309
Y Ag
4 1
Direct
0.079 0.079 0.352 Y
0.272 0.272 0.193 Y
0.728 0.728 0.807 Y
0.921 0.921 0.648 Y
0.500 0.500 0.000 Ag
```

Properties
* calculated formation energy: -0.112 eV/atom
* space-group type: C2/m (12)
* density: 5255 kg/m3
* ΔE to the lowest computed polymorph: 0 meV per atom
* crystal system: monoclinic